# 1
The following is a PBE calculation of Cs2KTlI5 after structural relaxation, from the Alexandria database.

Cell and atoms, written as CIF:
```
data_Cs2KTlI5
_chemical_formula_sum 'Cs4 K2 Tl2 I10'
_cell_length_a 11.140
_cell_length_b 11.140
_cell_length_c 15.479
_cell_angle_alpha 90.00
_cell_angle_beta 90.00
_cell_angle_gamma 151.21
_space_group_name_H-M_alt 'P 1'
_space_group_IT_number 1
loop_
_space_group_symop_operation_xyz
'x,y,z'
loop_
_atom_site_label
_atom_site_type_symbol
_atom_site_fract_x
_atom_site_fract_y
_atom_site_fract_z
_atom_site_occupancy
Cs1 Cs 0.117 0.883 0.500 1
Cs2 Cs 0.142 0.858 0.128 1
Cs3 Cs 0.858 0.142 0.628 1
Cs4 Cs 0.883 0.117 0.000 1
K1 K 0.212 0.788 0.830 1
K2 K 0.788 0.212 0.330 1
Tl1 Tl 0.466 0.534 0.258 1
Tl2 Tl 0.534 0.466 0.758 1
I1 I 0.042 0.958 0.838 1
I2 I 0.293 0.707 0.474 1
I3 I 0.326 0.674 0.183 1
I4 I 0.377 0.623 0.814 1
I5 I 0.489 0.511 0.574 1
I6 I 0.511 0.489 0.074 1
I7 I 0.623 0.377 0.314 1
I8 I 0.674 0.326 0.683 1
I9 I 0.707 0.293 0.974 1
I10 I 0.958 0.042 0.338 1
```

## Properties
Uncorrected energy   -2.567 eV per atom
Formation energy from raw total energies   -1.1318 eV/atom

***

# 2
The following is a PBE calculation of Cs3Tb3SbSe8 after structural relaxation, from the Alexandria database.

Cell and atoms, written as CIF:
```
data_Cs3Tb3SbSe8
_chemical_formula_sum 'Cs3 Tb3 Sb1 Se8'
_cell_length_a 9.838
_cell_length_b 9.838
_cell_length_c 9.838
_cell_angle_alpha 50.66
_cell_angle_beta 50.66
_cell_angle_gamma 50.66
_space_group_name_H-M_alt 'P 1'
_space_group_IT_number 1
loop_
_space_group_symop_operation_xyz
'x,y,z'
loop_
_atom_site_label
_atom_site_type_symbol
_atom_site_fract_x
_atom_site_fract_y
_atom_site_fract_z
_atom_site_occupancy
Cs1 Cs 0.000 0.500 0.500 1
Cs2 Cs 0.500 0.000 0.500 1
Cs3 Cs 0.500 0.500 0.000 1
Tb1 Tb 0.000 0.000 0.500 1
Tb2 Tb 0.000 0.500 0.000 1
Tb3 Tb 0.500 0.000 0.000 1
Sb1 Sb 0.500 0.500 0.500 1
Se1 Se 0.228 0.228 0.228 1
Se2 Se 0.235 0.723 0.723 1
Se3 Se 0.277 0.277 0.765 1
Se4 Se 0.277 0.765 0.277 1
Se5 Se 0.723 0.235 0.723 1
Se6 Se 0.723 0.723 0.235 1
Se7 Se 0.765 0.277 0.277 1
Se8 Se 0.772 0.772 0.772 1
```

## Properties
Uncorrected energy   -4.652 eV per atom
Formation energy from raw total energies   -1.4222 eV/atom

***

# 3
The following is a PBE calculation of TbScSn after structural relaxation, from the Alexandria database.

Cell and atoms, written as CIF:
```
data_TbScSn
_chemical_formula_sum 'Tb2 Sc2 Sn2'
_cell_length_a 4.419
_cell_length_b 4.419
_cell_length_c 8.200
_cell_angle_alpha 90.00
_cell_angle_beta 90.00
_cell_angle_gamma 90.00
_space_group_name_H-M_alt 'P 1'
_space_group_IT_number 1
loop_
_space_group_symop_operation_xyz
'x,y,z'
loop_
_atom_site_label
_atom_site_type_symbol
_atom_site_fract_x
_atom_site_fract_y
_atom_site_fract_z
_atom_site_occupancy
Tb1 Tb 0.250 0.250 0.154 1
Tb2 Tb 0.750 0.750 0.846 1
Sc1 Sc 0.250 0.750 0.500 1
Sc2 Sc 0.750 0.250 0.500 1
Sn1 Sn 0.250 0.250 0.762 1
Sn2 Sn 0.750 0.750 0.238 1
```

## Properties
Uncorrected energy   -5.620 eV per atom
Calculated formation energy   -0.632 eV per atom